Entry from Alexandria: a relaxed GeBi2Te4 crystal (GGA-PBEsol).

```
GeBi2Te4
1.0
4.316 -0.001 0.000
2.158 3.738 0.000
2.158 1.246 13.556
Te Bi Ge
4 2 1
direct
0.293 0.293 0.120
0.866 0.866 0.403
0.134 0.134 0.597
0.707 0.707 0.880
0.424 0.424 0.727
0.576 0.576 0.273
0.000 0.000 0.000
```

Output
For the raw formation energy, the calculation gives -182 meV per atom. The value obtained for the raw total energy is -28.9 eV/f.u. The symmetry is R-3m.

***

Entry from Alexandria: a relaxed ZnGeBiTe2 crystal (GGA-PBEsol).

```
ZnGeBiTe2
1.0
5.085 0.000 0.000
0.000 5.866 0.000
0.000 0.000 5.866
Te Zn Bi Ge
2 1 1 1
direct
0.000 0.000 0.500
0.000 0.500 0.000
0.500 0.000 0.000
0.000 0.000 0.000
0.500 0.500 0.500
```

Output
The density of states at the Fermi level comes out at 0.37 states/eV/atom. For the raw formation energy, the calculation gives 741 meV per atom. The value obtained for the raw total energy is -14.2 eV/f.u. The symmetry is P4/mmm.

***

Entry from Alexandria: a relaxed TiGeBi2 crystal (GGA-PBEsol).

```
TiGeBi2
1.0
-5.121 -0.244 3.807
2.175 -5.422 2.579
4.654 6.248 1.304
Ti Ge Bi
2 2 4
direct
0.750 0.250 0.500
0.500 0.500 0.000
0.250 0.750 0.500
0.000 0.000 0.000
0.125 0.139 0.750
0.389 0.875 0.250
0.625 0.611 0.750
0.861 0.375 0.250
```

Output
The density of states at the Fermi level comes out at 0.38 states/eV/atom. Its formation energy is 0.440 eV/atom. The value obtained for the raw total energy is -20.1 eV/f.u. The symmetry is I-42d.

***

Entry from Alexandria: a relaxed Ti2GeBi crystal (GGA-PBEsol).

```
Ti2GeBi
1.0
4.700 0.000 0.000
2.350 4.070 0.000
2.350 1.357 3.837
Ge Bi Ti
1 1 2
direct
0.000 0.000 0.000
0.500 0.500 0.500
0.250 0.250 0.250
0.750 0.750 0.750
```

Output
The density of states at the Fermi level comes out at 1.52 states/eV/atom. Its formation energy is -0.073 eV/atom. The value obtained for the raw total energy is -26.2 eV/f.u. The symmetry is Fm-3m.